Entry 1:
Material: NaIn2GaNi
Method: DFT, GGA-PBE
State: optimized geometry

a = 5.020 Å, b = 5.020 Å, c = 4.660 Å
α = 90.00°, β = 90.00°, γ = 90.00°
Space group P4/mmm (No. 123)
One atom of each set of equivalent atoms:
Na: 0.000 0.000 0.000 x1
In: 0.000 0.500 0.500 x2
Ga: 0.500 0.500 0.000 x1
Ni: 0.500 0.500 0.500 x1

Values from the calculation:
As for the formation energy: -0.0979 eV/atom.

---

Entry 2:
Material: Na2InGaO4
Method: DFT, GGA-PBE
State: optimized geometry

a = 5.476 Å, b = 3.163 Å, c = 5.769 Å
α = 90.00°, β = 108.32°, γ = 90.00°
Space group P2/m (No. 10)
One atom of each set of equivalent atoms:
Na: 0.000 0.000 0.000 x1
Na: 0.500 0.500 0.000 x1
In: 0.000 0.500 0.500 x1
Ga: 0.500 0.000 0.500 x1
O: 0.256 0.000 0.708 x2
O: 0.280 0.500 0.297 x2

Values from the calculation:
For the uncorrected formation energy, the calculation gives -163.8 kJ per mole of atoms.

---

Entry 3:
Material: NaInGa2Os
Method: DFT, GGA-PBE
State: optimized geometry

a = 4.865 Å, b = 4.865 Å, c = 5.184 Å
α = 90.00°, β = 90.00°, γ = 90.00°
Space group P4/mmm (No. 123)
One atom of each set of equivalent atoms:
Na: 0.000 0.000 0.000 x1
In: 0.500 0.500 0.000 x1
Ga: 0.000 0.500 0.500 x2
Os: 0.500 0.500 0.500 x1

Values from the calculation:
As for the formation energy: -0.0624 eV/atom.

---

Entry 4:
Material: Na2InGaPb
Method: DFT, GGA-PBE
State: optimized geometry

a = 6.356 Å, b = 6.356 Å, c = 6.018 Å
α = 90.00°, β = 90.00°, γ = 90.00°
Space group P4/mmm (No. 123)
One atom of each set of equivalent atoms:
Na: 0.000 0.500 0.000 x2
In: 0.000 0.000 0.500 x1
Ga: 0.500 0.500 0.500 x1
Pb: 0.000 0.000 0.000 x1

Values from the calculation:
As for the formation energy: 0.3777 eV/atom.

---

Entry 5:
Material: NaInGaPb
Method: DFT, GGA-PBE
State: optimized geometry

a = 7.492 Å, b = 7.492 Å, c = 7.492 Å
α = 90.00°, β = 90.00°, γ = 90.00°
Space group F-43m (No. 216)
One atom of each set of equivalent atoms:
Na: 0.000 0.000 0.000 x4
In: 0.000 0.000 0.500 x4
Ga: 0.250 0.250 0.250 x4
Pb: 0.250 0.250 0.750 x4

Values from the calculation:
As for the formation energy: -0.0289 eV/atom.

---

Entry 6:
Material: Na2InGa2Pd5
Method: DFT, GGA-PBE
State: optimized geometry

a = 9.783 Å, b = 9.783 Å, c = 3.693 Å
α = 90.00°, β = 90.00°, γ = 90.00°
Space group P4/mbm (No. 127)
One atom of each set of equivalent atoms:
Na: 0.173 0.327 0.000 x4
In: 0.000 0.000 0.000 x2
Ga: 0.125 0.625 0.000 x4
Pd: 0.000 0.500 0.500 x2
Pd: 0.070 0.795 0.500 x8

Values from the calculation:
As for the formation energy: -0.4753 eV/atom.

---

Entry 7:
Material: NaInGaPd
Method: DFT, GGA-PBE
State: optimized geometry

a = 6.697 Å, b = 6.697 Å, c = 6.697 Å
α = 90.00°, β = 90.00°, γ = 90.00°
Space group F-43m (No. 216)
One atom of each set of equivalent atoms:
Na: 0.000 0.000 0.000 x4
In: 0.250 0.250 0.750 x4
Ga: 0.250 0.250 0.250 x4
Pd: 0.000 0.000 0.500 x4

Values from the calculation:
As for the formation energy: -0.2440 eV/atom.

---

Entry 8:
Material: NaInGa2Pd
Method: DFT, GGA-PBE
State: optimized geometry

a = 4.893 Å, b = 4.893 Å, c = 5.267 Å
α = 90.00°, β = 90.00°, γ = 90.00°
Space group P4/mmm (No. 123)
One atom of each set of equivalent atoms:
Na: 0.000 0.000 0.000 x1
In: 0.500 0.500 0.000 x1
Ga: 0.000 0.500 0.500 x2
Pd: 0.500 0.500 0.500 x1

Values from the calculation:
As for the formation energy: -0.1317 eV/atom.

---

Entry 9:
Material: NaIn2GaPd
Method: DFT, GGA-PBE
State: optimized geometry

a = 5.260 Å, b = 5.260 Å, c = 4.880 Å
α = 90.00°, β = 90.00°, γ = 90.00°
Space group P4/mmm (No. 123)
One atom of each set of equivalent atoms:
Na: 0.000 0.000 0.000 x1
In: 0.000 0.500 0.500 x2
Ga: 0.500 0.500 0.000 x1
Pd: 0.500 0.500 0.500 x1

Values from the calculation:
As for the formation energy: -0.1390 eV/atom.

---

Entry 10:
Material: NaPmInGa
Method: DFT, GGA-PBE
State: optimized geometry

a = 7.404 Å, b = 7.404 Å, c = 7.404 Å
α = 90.00°, β = 90.00°, γ = 90.00°
Space group F-43m (No. 216)
One atom of each set of equivalent atoms:
Na: 0.000 0.000 0.000 x4
Pm: 0.000 0.000 0.500 x4
In: 0.250 0.250 0.750 x4
Ga: 0.250 0.250 0.250 x4

Values from the calculation:
As for the formation energy: -0.2829 eV/atom.

---

Entry 11:
Material: NaInGaPt2
Method: DFT, GGA-PBE
State: optimized geometry

a = 4.846 Å, b = 4.846 Å, c = 5.065 Å
α = 90.00°, β = 90.00°, γ = 90.00°
Space group P4/mmm (No. 123)
One atom of each set of equivalent atoms:
Na: 0.000 0.000 0.000 x1
In: 0.000 0.000 0.500 x1
Ga: 0.500 0.500 0.500 x1
Pt: 0.000 0.500 0.000 x2

Values from the calculation:
As for the formation energy: 0.9847 eV/atom.

---

Entry 12:
Material: Na2InGa3Pt4
Method: DFT, GGA-PBE
State: optimized geometry

a = 4.224 Å, b = 4.224 Å, c = 10.985 Å
α = 90.00°, β = 90.00°, γ = 90.00°
Space group P-4m2 (No. 115)
One atom of each set of equivalent atoms:
Na: 0.000 0.500 0.237 x2
In: 0.000 0.000 0.500 x1
Ga: 0.000 0.500 0.871 x2
Ga: 0.500 0.500 0.500 x1
Pt: 0.000 0.000 0.000 x1
Pt: 0.000 0.500 0.647 x2
Pt: 0.500 0.500 0.000 x1

Values from the calculation:
As for the formation energy: -0.5399 eV/atom.

---

Entry 13:
Material: Na2InGaRe
Method: DFT, GGA-PBE
State: optimized geometry

a = 5.696 Å, b = 5.696 Å, c = 4.850 Å
α = 90.00°, β = 90.00°, γ = 90.00°
Space group P4/mmm (No. 123)
One atom of each set of equivalent atoms:
Na: 0.000 0.500 0.000 x2
In: 0.000 0.000 0.500 x1
Ga: 0.500 0.500 0.500 x1
Re: 0.500 0.500 0.000 x1

Values from the calculation:
As for the formation energy: 1.0283 eV/atom.

---

Entry 14:
Material: NaInGa2Rh
Method: DFT, GGA-PBE
State: optimized geometry

a = 4.830 Å, b = 4.830 Å, c = 5.162 Å
α = 90.00°, β = 90.00°, γ = 90.00°
Space group P4/mmm (No. 123)
One atom of each set of equivalent atoms:
Na: 0.000 0.000 0.000 x1
In: 0.500 0.500 0.000 x1
Ga: 0.000 0.500 0.500 x2
Rh: 0.500 0.500 0.500 x1

Values from the calculation:
As for the formation energy: -0.2290 eV/atom.

---

Entry 15:
Material: NaInGa2Ru
Method: DFT, GGA-PBE
State: optimized geometry

a = 4.841 Å, b = 4.841 Å, c = 5.152 Å
α = 90.00°, β = 90.00°, γ = 90.00°
Space group P4/mmm (No. 123)
One atom of each set of equivalent atoms:
Na: 0.000 0.000 0.000 x1
In: 0.500 0.500 0.000 x1
Ga: 0.000 0.500 0.500 x2
Ru: 0.500 0.500 0.500 x1

Values from the calculation:
As for the formation energy: -0.1493 eV/atom.

---

Entry 16:
Material: Na2InGaS4
Method: DFT, GGA-PBE
State: optimized geometry

a = 7.843 Å, b = 7.836 Å, c = 6.712 Å
α = 90.00°, β = 90.00°, γ = 90.00°
Space group Pmn2_1 (No. 31)
One atom of each set of equivalent atoms:
Na: 0.247 0.160 0.000 x4
In: 0.000 0.362 0.504 x2
Ga: 0.000 0.652 0.004 x2
S: 0.000 0.382 0.876 x2
S: 0.000 0.646 0.347 x2
S: 0.239 0.811 0.913 x4

Values from the calculation:
For the uncorrected formation energy, the calculation gives -86.3 kJ per mole of atoms.

---

Entry 17:
Material: NaScInGa
Method: DFT, GGA-PBE
State: optimized geometry

a = 7.065 Å, b = 7.065 Å, c = 7.065 Å
α = 90.00°, β = 90.00°, γ = 90.00°
Space group F-43m (No. 216)
One atom of each set of equivalent atoms:
Na: 0.000 0.000 0.000 x4
Sc: 0.000 0.000 0.500 x4
In: 0.250 0.250 0.750 x4
Ga: 0.250 0.250 0.250 x4

Values from the calculation:
As for the formation energy: -0.1936 eV/atom.

---

Entry 18:
Material: NaTbInGa
Method: DFT, GGA-PBE
State: optimized geometry

a = 7.311 Å, b = 7.311 Å, c = 7.311 Å
α = 90.00°, β = 90.00°, γ = 90.00°
Space group F-43m (No. 216)
One atom of each set of equivalent atoms:
Na: 0.000 0.000 0.000 x4
Tb: 0.000 0.000 0.500 x4
In: 0.250 0.250 0.750 x4
Ga: 0.250 0.250 0.250 x4

Values from the calculation:
As for the formation energy: -0.2673 eV/atom.

---

Entry 19:
Material: NaIn2GaTc
Method: DFT, GGA-PBE
State: optimized geometry

a = 5.222 Å, b = 5.222 Å, c = 4.890 Å
α = 90.00°, β = 90.00°, γ = 90.00°
Space group P4/mmm (No. 123)
One atom of each set of equivalent atoms:
Na: 0.000 0.000 0.000 x1
In: 0.000 0.500 0.500 x2
Ga: 0.500 0.500 0.000 x1
Tc: 0.500 0.500 0.500 x1

Values from the calculation:
As for the formation energy: 0.0471 eV/atom.

---

Entry 20:
Material: NaInGaTe3
Method: DFT, GGA-PBE
State: optimized geometry

a = 9.001 Å, b = 4.381 Å, c = 11.023 Å
α = 90.00°, β = 105.08°, γ = 90.00°
Space group P2_1/m (No. 11)
One atom of each set of equivalent atoms:
Na: 0.199 0.250 0.182 x2
In: 0.335 0.750 0.884 x2
Ga: 0.071 0.250 0.618 x2
Te: 0.074 0.250 0.857 x2
Te: 0.212 0.750 0.550 x2
Te: 0.449 0.750 0.162 x2

Values from the calculation:
For the uncorrected formation energy, the calculation gives -41.1 kJ per mole of atoms.

---

Entry 21:
Material: NaInGaTe2
Method: DFT, GGA-PBE
State: optimized geometry

a = 5.851 Å, b = 5.851 Å, c = 5.491 Å
α = 90.00°, β = 90.00°, γ = 90.00°
Space group P4/mmm (No. 123)
One atom of each set of equivalent atoms:
Na: 0.000 0.000 0.000 x1
In: 0.000 0.000 0.500 x1
Ga: 0.500 0.500 0.000 x1
Te: 0.000 0.500 0.500 x2

Values from the calculation:
For the uncorrected formation energy, the calculation gives 15.7 kJ per mole of atoms.

---

Entry 22:
Material: NaTlInGa
Method: DFT, GGA-PBE
State: optimized geometry

a = 7.383 Å, b = 7.383 Å, c = 7.383 Å
α = 90.00°, β = 90.00°, γ = 90.00°
Space group F-43m (No. 216)
One atom of each set of equivalent atoms:
Na: 0.000 0.000 0.000 x4
Tl: 0.250 0.250 0.250 x4
In: 0.000 0.000 0.500 x4
Ga: 0.250 0.250 0.750 x4

Values from the calculation:
As for the formation energy: -0.0296 eV/atom.

---

Entry 23:
Material: Na2Zn4InGa3
Method: DFT, GGA-PBE
State: optimized geometry

a = 4.296 Å, b = 4.296 Å, c = 11.337 Å
α = 90.00°, β = 90.00°, γ = 90.00°
Space group P-4m2 (No. 115)
One atom of each set of equivalent atoms:
Na: 0.000 0.500 0.239 x2
Zn: 0.000 0.000 0.000 x1
Zn: 0.000 0.500 0.651 x2
Zn: 0.500 0.500 0.000 x1
In: 0.000 0.000 0.500 x1
Ga: 0.000 0.500 0.872 x2
Ga: 0.500 0.500 0.500 x1

Values from the calculation:
As for the formation energy: -0.0418 eV/atom.

---

Entry 24:
Material: Na2Zn3InGa4
Method: DFT, GGA-PBE
State: optimized geometry

a = 4.312 Å, b = 4.312 Å, c = 11.347 Å
α = 90.00°, β = 90.00°, γ = 90.00°
Space group P-4m2 (No. 115)
One atom of each set of equivalent atoms:
Na: 0.000 0.500 0.238 x2
Zn: 0.000 0.500 0.869 x2
Zn: 0.500 0.500 0.500 x1
In: 0.000 0.000 0.500 x1
Ga: 0.000 0.000 0.000 x1
Ga: 0.000 0.500 0.650 x2
Ga: 0.500 0.500 0.000 x1

Values from the calculation:
As for the formation energy: -0.0489 eV/atom.

---

Entry 25:
Material: NaZnInGa
Method: DFT, GGA-PBE
State: optimized geometry

a = 6.998 Å, b = 6.998 Å, c = 6.998 Å
α = 90.00°, β = 90.00°, γ = 90.00°
Space group F-43m (No. 216)
One atom of each set of equivalent atoms:
Na: 0.000 0.000 0.000 x4
Zn: 0.250 0.250 0.750 x4
In: 0.000 0.000 0.500 x4
Ga: 0.250 0.250 0.250 x4

Values from the calculation:
As for the formation energy: 0.0060 eV/atom.

---

Entry 26:
Material: Na2ZnIn3Ga4
Method: DFT, GGA-PBE
State: optimized geometry

a = 4.351 Å, b = 4.351 Å, c = 12.416 Å
α = 90.00°, β = 90.00°, γ = 90.00°
Space group P-4m2 (No. 115)
One atom of each set of equivalent atoms:
Na: 0.000 0.500 0.229 x2
Zn: 0.500 0.500 0.000 x1
In: 0.000 0.000 0.000 x1
In: 0.000 0.500 0.647 x2
Ga: 0.000 0.000 0.500 x1
Ga: 0.000 0.500 0.865 x2
Ga: 0.500 0.500 0.500 x1

Values from the calculation:
As for the formation energy: -0.0563 eV/atom.